Entry from Alexandria: a relaxed structure of KCN (GGA-PBE).

Results
energy above the lowest structure with this stoichiometry = 45 meV/atom
M_tot = 0.000 μB/f.u.
energy relative to the elements, uncorrected = -0.231 eV per atom

Cell lengths 3.9544, 3.9544, 3.9377 Å; angles 92.24, 92.24, 88.13 degrees
Sites, in units of the cell vectors:
K 0.0000 0.0000 0.0000
C 0.4296 0.4296 0.5720
N 0.5981 0.5981 0.4087